Record 1
A plane-wave DFT calculation with PBE-GGA was carried out for a relaxed structure of CaBeBr2.

Calculated values
As for the total energy: -2.684 eV/atom. For the uncorrected formation energy, the calculation gives -0.42 eV/atom. The mass density is 3.467 Mg/m³. The space group is No. 119. For the polymorph energy (0 for the lowest one), the calculation gives 0.384 eV per atom. The magnetization is 0.00 μB per formula unit.

abc: 6.232 6.232 6.232
angles: 139.77 139.77 58.21
Atoms (fractional coordinates):
Br 0.000 0.000 0.000
Br 0.250 0.750 0.500
Be 0.750 0.250 0.500
Ca 0.500 0.500 0.000

---

Record 2
A plane-wave DFT calculation with PBE-GGA was carried out for a relaxed structure of ScHF4.

Calculated values
As for the total energy: -5.930 eV/atom. The mass density is 2.467 Mg/m³. The space group is No. 63. For the polymorph energy (0 for the lowest one), the calculation gives 0.047 eV per atom. The magnetization is 0.00 μB per formula unit.

abc: 5.252 5.252 6.426
angles: 90.00 90.00 112.18
Atoms (fractional coordinates):
F 0.809 0.762 0.250
F 0.230 0.770 0.929
F 0.191 0.238 0.750
F 0.762 0.809 0.750
F 0.770 0.230 0.429
F 0.238 0.191 0.250
F 0.770 0.230 0.071
F 0.230 0.770 0.571
Sc 0.000 0.000 0.000
Sc 0.000 0.000 0.500
H 0.246 0.754 0.750
H 0.754 0.246 0.250

---

Record 3
A plane-wave DFT calculation with PBE-GGA was carried out for a relaxed structure of SrP2Br.

Calculated values
As for the total energy: -3.889 eV/atom. For the uncorrected formation energy, the calculation gives -0.35 eV/atom. The mass density is 3.861 Mg/m³. The space group is No. 139. For the polymorph energy (0 for the lowest one), the calculation gives 0.482 eV per atom. The magnetization is 0.00 μB per formula unit.

abc: 6.795 6.795 6.795
angles: 145.80 145.79 49.15
Atoms (fractional coordinates):
Sr 0.750 0.250 0.500
P 0.000 0.000 0.000
P 0.500 0.500 0.000
Br 0.250 0.750 0.500

---

Record 4
A plane-wave DFT calculation with PBE-GGA was carried out for a relaxed structure of TlHgSeS.

Calculated values
As for the total energy: -2.682 eV/atom. For the uncorrected formation energy, the calculation gives -0.11 eV/atom. The mass density is 6.742 Mg/m³. The space group is No. 160. The magnetization is 0.00 μB per formula unit.

abc: 4.419 4.419 7.934
angles: 73.83 73.83 60.00
Atoms (fractional coordinates):
S 0.606 0.606 0.181
Tl 0.483 0.483 0.551
Se 0.094 0.094 0.717
Hg 0.973 0.973 0.081

---

Record 5
A plane-wave DFT calculation with PBE-GGA was carried out for a relaxed structure of Zr2Al3Si3.

Calculated values
As for the total energy: -5.766 eV/atom. For the uncorrected formation energy, the calculation gives -0.19 eV/atom. The mass density is 3.764 Mg/m³. The space group is No. 193. For the polymorph energy (0 for the lowest one), the calculation gives 0.160 eV per atom. The magnetization is 0.00 μB per formula unit.

abc: 7.138 7.138 6.953
angles: 90.00 90.00 120.00
Atoms (fractional coordinates):
Zr 0.667 0.333 0.500
Zr 0.333 0.667 0.000
Zr 0.333 0.667 0.500
Zr 0.667 0.333 0.000
Al 0.295 0.000 0.750
Al 0.705 0.000 0.250
Al 0.705 0.705 0.750
Al 0.000 0.295 0.750
Al 0.295 0.295 0.250
Al 0.000 0.705 0.250
Si 0.636 0.000 0.750
Si 0.636 0.636 0.250
Si 0.364 0.000 0.250
Si 0.000 0.636 0.750
Si 0.000 0.364 0.250
Si 0.364 0.364 0.750

---

Record 6
A plane-wave DFT calculation with PBE-GGA was carried out for a relaxed structure of ZnHgIr2.

Calculated values
As for the total energy: -4.454 eV/atom. The mass density is 16.858 Mg/m³. The space group is No. 65. The magnetization is 0.00 μB per formula unit. As for the formation energy: 8.55 kcal/mol of atoms.

abc: 4.829 4.829 2.890
angles: 90.00 90.00 108.06
Atoms (fractional coordinates):
Ir 0.500 0.500 0.000
Ir 0.000 0.000 0.000
Hg 0.000 0.500 0.500
Zn 0.500 0.000 0.500

---

Record 7
A plane-wave DFT calculation with PBE-GGA was carried out for a relaxed structure of KBa2Se.

Calculated values
As for the total energy: -2.918 eV/atom. For the uncorrected formation energy, the calculation gives -0.81 eV/atom. The mass density is 2.848 Mg/m³. The space group is No. 38. The magnetization is 0.00 μB per formula unit.

abc: 4.743 8.120 8.124
angles: 47.03 90.00 90.00
Atoms (fractional coordinates):
Ba 0.000 0.904 0.905
Ba 0.500 0.238 0.237
Se 0.500 0.762 0.761
K 0.000 0.597 0.597

---

Record 8
A plane-wave DFT calculation with PBE-GGA was carried out for a relaxed structure of FeAs2BrCl.

Calculated values
As for the total energy: -3.014 eV/atom. For the uncorrected formation energy, the calculation gives 1.24 eV/atom. The mass density is 3.866 Mg/m³. The space group is No. 123. For the polymorph energy (0 for the lowest one), the calculation gives 0.951 eV per atom. The magnetization is 3.83 μB per formula unit.

abc: 4.690 4.690 6.269
angles: 90.00 90.00 90.00
Atoms (fractional coordinates):
Fe 0.500 0.500 0.500
Cl 0.000 0.000 0.000
As 0.000 0.500 0.000
As 0.500 0.000 0.000
Br 0.000 0.000 0.500

---

Record 9
A plane-wave DFT calculation with PBE-GGA was carried out for a relaxed structure of Cr3TeSe.

Calculated values
As for the total energy: -6.555 eV/atom. For the uncorrected formation energy, the calculation gives 0.54 eV/atom. The mass density is 4.933 Mg/m³. The space group is No. 221. For the polymorph energy (0 for the lowest one), the calculation gives 0.000 eV per atom. The magnetization is 14.00 μB per formula unit.

abc: 4.960 4.960 4.960
angles: 90.00 90.00 90.00
Atoms (fractional coordinates):
Se 0.000 0.000 0.000
Cr 0.000 0.000 0.500
Cr 0.000 0.500 0.000
Cr 0.500 0.000 0.000
Te 0.500 0.500 0.500

---

Record 10
A plane-wave DFT calculation with PBE-GGA was carried out for a relaxed structure of LaPuTeI.

Calculated values
As for the total energy: -6.963 eV/atom. For the uncorrected formation energy, the calculation gives -0.98 eV/atom. The mass density is 8.891 Mg/m³. The space group is No. 216. The magnetization is 7.13 μB per formula unit.

abc: 5.522 5.522 5.522
angles: 60.00 60.00 60.00
Atoms (fractional coordinates):
I 0.000 0.000 0.000
Te 0.500 0.500 0.500
Pu 0.750 0.750 0.750
La 0.250 0.250 0.250

---

Record 11
A plane-wave DFT calculation with PBE-GGA was carried out for a relaxed structure of TbScSbTe.

Calculated values
As for the total energy: -5.718 eV/atom. For the uncorrected formation energy, the calculation gives -1.16 eV/atom. The mass density is 6.769 Mg/m³. The space group is No. 160. The magnetization is 0.00 μB per formula unit.

abc: 4.280 4.280 7.431
angles: 73.26 73.26 60.00
Atoms (fractional coordinates):
Te 0.362 0.362 0.913
Tb 0.604 0.604 0.189
Sc 0.111 0.111 0.666
Sb 0.852 0.852 0.444

---

Record 12
A plane-wave DFT calculation with PBE-GGA was carried out for a relaxed structure of PmIn2Au.

Calculated values
As for the total energy: -3.810 eV/atom. The mass density is 9.406 Mg/m³. The space group is No. 166. For the polymorph energy (0 for the lowest one), the calculation gives 0.133 eV per atom. The magnetization is 0.00 μB per formula unit. As for the formation energy: -9.99 kcal/mol of atoms.

abc: 4.678 4.678 5.971
angles: 66.94 66.94 60.00
Atoms (fractional coordinates):
Pm 0.000 0.000 0.000
Au 0.500 0.500 0.500
In 0.224 0.224 0.327
In 0.776 0.776 0.673